[1]
{"formula": "CrCoI2O", "functional": "PBE with a Hubbard U", "state": "relaxed", "de_polymorph_mev_per_atom": 215, "dos_at_fermi_per_ev_atom": 0.881, "space_group": "P4/mmm", "final_energy_ev_per_atom": -3.86, "cell": [[5.686, 0.000, 0.000], [0.000, 5.686, 0.000], [0.000, 0.000, 3.661]], "species": ["Cr", "Co", "I", "I", "O"], "fractional_positions": [[0.000, 0.000, 0.000], [0.500, 0.500, 0.500], [0.000, 0.500, 0.000], [0.500, 0.000, 0.000], [0.000, 0.000, 0.500]]}

=====

[2]
{"formula": "CrCoIO2", "functional": "PBE with a Hubbard U", "state": "relaxed", "de_polymorph_mev_per_atom": 148, "dos_at_fermi_per_ev_atom": 0.408, "space_group": "P4/mmm", "final_energy_ev_per_atom": -4.93, "cell": [[3.859, 0.000, 0.000], [0.000, 3.859, 0.000], [0.000, 0.000, 6.060]], "species": ["Cr", "Co", "I", "O", "O"], "fractional_positions": [[0.000, 0.000, 0.000], [0.500, 0.500, 0.500], [0.500, 0.500, 0.000], [0.000, 0.500, 0.500], [0.500, 0.000, 0.500]]}